No. 1
The following is a DFT calculation (GGA-PBE) of crystalline AgGePd4 at its relaxed geometry.

a = 5.190 Å, b = 4.630 Å, c = 8.781 Å
α = 106.10°, β = 107.27°, γ = 89.96°
Element x y z (fractional)
Ag1 0.837 0.750 0.000
Ag2 0.163 0.250 0.000
Ge1 0.500 0.000 0.500
Ge2 0.000 0.500 0.500
Pd1 0.560 0.154 0.817
Pd2 0.742 0.346 0.183
Pd3 0.440 0.846 0.183
Pd4 0.258 0.654 0.817
Pd5 0.986 0.072 0.659
Pd6 0.327 0.428 0.341
Pd7 0.014 0.928 0.341
Pd8 0.673 0.572 0.659

Values from the calculation:
Mass density ... 10.44 g/cm3
Fermi-level density of states ... 5.3 states/eV per cell
E_tot ... -4.925 eV/atom

No. 2
The following is a DFT calculation (GGA-PBE) of crystalline Ca2C at its relaxed geometry.

a = 3.764 Å, b = 3.764 Å, c = 5.079 Å
α = 90.00°, β = 90.00°, γ = 90.00°
Element x y z (fractional)
Ca1 0.000 0.000 0.500
Ca2 0.500 0.500 0.000
C1 0.000 0.000 0.000

Values from the calculation:
Mass density ... 2.13 g/cm3
Energy above the lowest structure with this stoichiometry ... 485.6 meV/atom
Fermi-level density of states ... 3.6 states/eV per cell

No. 3
The following is a DFT calculation (GGA-PBE) of crystalline Sm12SnPd6 at its relaxed geometry.

a = 8.876 Å, b = 8.876 Å, c = 8.876 Å
α = 108.92°, β = 108.92°, γ = 108.92°
Element x y z (fractional)
Sm1 0.853 0.616 0.557
Sm2 0.557 0.853 0.616
Sm3 0.616 0.557 0.853
Sm4 0.147 0.384 0.443
Sm5 0.443 0.147 0.384
Sm6 0.384 0.443 0.147
Sm7 0.031 0.857 0.323
Sm8 0.143 0.677 0.969
Sm9 0.677 0.969 0.143
Sm10 0.969 0.143 0.677
Sm11 0.857 0.323 0.031
Sm12 0.323 0.031 0.857
Sn1 0.000 0.000 0.000
Pd1 0.711 0.781 0.352
Pd2 0.648 0.289 0.219
Pd3 0.219 0.648 0.289
Pd4 0.289 0.219 0.648
Pd5 0.352 0.711 0.781
Pd6 0.781 0.352 0.711

Values from the calculation:
Mass density ... 7.75 g/cm3
Energy above the lowest structure with this stoichiometry ... 116.4 meV/atom
Fermi-level density of states ... 17.2 states/eV per cell

No. 4
The following is a DFT calculation (GGA-PBE) of crystalline NbPdS at its relaxed geometry.

a = 6.518 Å, b = 3.219 Å, c = 9.999 Å
α = 90.00°, β = 106.61°, γ = 90.00°
Element x y z (fractional)
Nb1 0.375 0.000 0.831
Nb2 0.625 0.000 0.169
Nb3 0.375 0.500 0.331
Nb4 0.625 0.500 0.669
S1 0.333 0.000 0.580
S2 0.667 0.000 0.420
S3 0.333 0.500 0.080
S4 0.667 0.500 0.920
Pd1 0.048 0.000 0.368
Pd2 0.952 0.000 0.632
Pd3 0.048 0.500 0.868
Pd4 0.952 0.500 0.132

Values from the calculation:
Mass density ... 7.65 g/cm3
Energy above the lowest structure with this stoichiometry ... 14.8 meV/atom
Fermi-level density of states ... 5.9 states/eV per cell
Formation energy from raw total energies ... -0.549 eV per atom

No. 5
The following is a DFT calculation (GGA-PBE) of crystalline ScAsW2 at its relaxed geometry.

a = 8.458 Å, b = 8.458 Å, c = 8.458 Å
α = 21.67°, β = 21.67°, γ = 21.67°
Element x y z (fractional)
As1 0.508 0.508 0.508
Sc1 0.750 0.750 0.750
W1 0.994 0.994 0.994
W2 0.249 0.249 0.249

Values from the calculation:
Mass density ... 11.20 g/cm3
Fermi-level density of states ... 2.7 states/eV per cell
E_tot ... -9.110 eV/atom

No. 6
The following is a DFT calculation (GGA-PBE) of crystalline NbVFeRu at its relaxed geometry.

a = 4.325 Å, b = 4.325 Å, c = 4.325 Å
α = 60.00°, β = 60.00°, γ = 60.00°
Element x y z (fractional)
Ru1 0.750 0.750 0.750
Nb1 0.000 0.000 0.000
Fe1 0.250 0.250 0.250
V1 0.500 0.500 0.500

Values from the calculation:
Mass density ... 8.73 g/cm3
Fermi-level density of states ... 4.0 states/eV per cell
E_tot ... -9.342 eV/atom

No. 7
The following is a DFT calculation (GGA-PBE) of crystalline YAlNiBi2 at its relaxed geometry.

a = 5.085 Å, b = 5.205 Å, c = 5.085 Å
α = 90.00°, β = 90.00°, γ = 90.00°
Element x y z (fractional)
Y1 0.000 0.500 0.000
Ni1 0.000 0.000 0.000
Bi1 0.000 0.000 0.500
Bi2 0.500 0.000 0.000
Al1 0.500 0.500 0.500

Values from the calculation:
Mass density ... 7.31 g/cm3
Fermi-level density of states ... 4.2 states/eV per cell
E_tot ... -4.652 eV/atom

No. 8
The following is a DFT calculation (GGA-PBE) of crystalline Ca2BeGa2 at its relaxed geometry.

a = 6.766 Å, b = 6.766 Å, c = 4.815 Å
α = 90.00°, β = 90.00°, γ = 90.00°
Element x y z (fractional)
Be1 0.000 0.000 0.000
Be2 0.500 0.500 0.000
Ca1 0.173 0.673 0.500
Ca2 0.673 0.827 0.500
Ca3 0.827 0.327 0.500
Ca4 0.327 0.173 0.500
Ga1 0.361 0.861 0.000
Ga2 0.861 0.639 0.000
Ga3 0.639 0.139 0.000
Ga4 0.139 0.361 0.000

Values from the calculation:
Mass density ... 3.45 g/cm3
Fermi-level density of states ... 5.6 states/eV per cell
E_tot ... -2.883 eV/atom